A relaxed structure of Re3Ru, computed with PBE-GGA. Values from VASP.

Structure (Quantum ESPRESSO input):
```
&SYSTEM
  ibrav = 0, nat = 8, ntyp = 2
/
ATOMIC_SPECIES
Re 186.21 Re.upf
Ru 101.07 Ru.upf
ATOMIC_POSITIONS angstrom
Re 1.103 0.010 0.794
Re 1.103 2.761 0.794
Re 1.103 4.156 3.214
Re 3.310 1.385 1.586
Re 3.310 2.781 4.007
Re 3.310 5.531 4.007
Ru 1.103 1.385 3.204
Ru 3.310 4.156 1.597
CELL_PARAMETERS angstrom
4.413 0.000 0.000
0.000 5.542 0.000
0.000 0.000 4.801
```

E_form, eV/atom: -0.044
Final energy, eV per atom: -11.699
Crystal system: orthorhombic
V, Å³/f.u.: 58.7



A relaxed structure of Re3Ru2, computed with PBE-GGA. Values from VASP.

Structure (Quantum ESPRESSO input):
```
&SYSTEM
  ibrav = 0, nat = 5, ntyp = 2
/
ATOMIC_SPECIES
Re 186.21 Re.upf
Ru 101.07 Ru.upf
ATOMIC_POSITIONS angstrom
Re 0.000 0.000 0.000
Re 0.000 2.397 2.202
Re 2.076 1.199 3.301
Ru 0.000 2.397 4.727
Ru 2.076 1.199 0.776
CELL_PARAMETERS angstrom
4.152 0.000 0.000
-2.076 3.596 0.000
0.000 0.000 5.503
```

E_form, eV/atom: 0.680
Final energy, eV per atom: -10.499
Crystal system: trigonal
Excess energy over the best structure of this formula in the dataset, kJ/mol of atoms: 72.15
V, Å³/f.u.: 82.2



- Which of these has the lowest E_form?
  Re3Ru



- Look up the E_form of the second one.
  0.680 eV/atom



Please write out number 2 again, unchanged.
A relaxed structure of Re3Ru2, computed with PBE-GGA. Values from VASP.

Structure (Quantum ESPRESSO input):
```
&SYSTEM
  ibrav = 0, nat = 5, ntyp = 2
/
ATOMIC_SPECIES
Re 186.21 Re.upf
Ru 101.07 Ru.upf
ATOMIC_POSITIONS angstrom
Re 0.000 0.000 0.000
Re 0.000 2.397 2.202
Re 2.076 1.199 3.301
Ru 0.000 2.397 4.727
Ru 2.076 1.199 0.776
CELL_PARAMETERS angstrom
4.152 0.000 0.000
-2.076 3.596 0.000
0.000 0.000 5.503
```

E_form, eV/atom: 0.680
Final energy, eV per atom: -10.499
Crystal system: trigonal
Excess energy over the best structure of this formula in the dataset, kJ/mol of atoms: 72.15
V, Å³/f.u.: 82.2



- What is the E_form in the first record?
  -0.044 eV/atom